# Sn3HgI | Alexandria via LeMat-Bulk | PBE | relaxed
# total magnetization	0.00	Bohr magnetons per cell
# E_tot	-2.313	eV per atom
# D(E_F)	4.47	states/eV per cell
# distance to the lowest polymorph of the same formula	0.00	eV/f.u.
# ΔE_f (raw)	0.459	eV per atom
data_Sn3HgI
_chemical_formula_sum 'Sn3 Hg1 I1'
_space_group_name_H-M_alt 'P m -3 m'
_space_group_IT_number 221
_space_group_name_Hall '-P 4 2 3'
_cell_length_a 5.709
_cell_length_b 5.709
_cell_length_c 5.709
_cell_angle_alpha 90.00
_cell_angle_beta 90.00
_cell_angle_gamma 90.00
loop_
_atom_site_label
_atom_site_type_symbol
_atom_site_fract_x
_atom_site_fract_y
_atom_site_fract_z
Sn1 Sn 0.000 0.000 0.500
Hg1 Hg 0.000 0.000 0.000
I1 I 0.500 0.500 0.500


# Tb5Y5Ho | Alexandria via LeMat-Bulk | PBE | relaxed
# energy of formation	0.14	eV per atom
# total magnetization	0.00	Bohr magnetons per cell
# E_tot	-5.315	eV per atom
# D(E_F)	16.92	states/eV per cell
# distance to the lowest polymorph of the same formula	0.00	eV/f.u.
data_Tb5Y5Ho
_chemical_formula_sum 'Tb5 Y5 Ho1'
_space_group_name_H-M_alt 'P -1'
_space_group_IT_number 2
_cell_length_a 6.849
_cell_length_b 6.872
_cell_length_c 8.638
_cell_angle_alpha 74.65
_cell_angle_beta 75.17
_cell_angle_gamma 70.00
loop_
_space_group_symop_operation_xyz
'x,y,z'
'-x,-y,-z'
loop_
_atom_site_label
_atom_site_type_symbol
_atom_site_fract_x
_atom_site_fract_y
_atom_site_fract_z
Tb1 Tb 0.000 0.000 0.000
Tb2 Tb 0.271 0.349 0.730
Tb3 Tb 0.354 0.853 0.636
Y1 Y 0.149 0.223 0.274
Y2 Y 0.188 0.679 0.365
Y3 Y 0.500 0.500 0.000
Ho1 Ho 0.500 0.000 0.000


# KReAu2 | Alexandria via LeMat-Bulk | PBE | relaxed
# energy of formation	0.61	eV per atom
# total magnetization	0.00	Bohr magnetons per cell
# E_tot	-4.418	eV per atom
# D(E_F)	14.67	states/eV per cell
# distance to the lowest polymorph of the same formula	0.50	eV/f.u.
data_KReAu2
_chemical_formula_sum 'K3 Re3 Au6'
_space_group_name_H-M_alt 'R -3 m'
_space_group_IT_number 166
_space_group_name_Hall '-R 3 2"'
_cell_length_a 2.9203
_cell_length_b 2.9203
_cell_length_c 31.1934
_cell_angle_alpha 90.00
_cell_angle_beta 90.00
_cell_angle_gamma 120.00
loop_
_atom_site_label
_atom_site_type_symbol
_atom_site_fract_x
_atom_site_fract_y
_atom_site_fract_z
K1 K 0.0000 0.0000 0.0000
Re1 Re 0.0000 0.0000 0.5000
Au1 Au 0.0000 0.0000 0.2405


# ZnFeAsSe2 | Alexandria via LeMat-Bulk | PBE | relaxed
# total magnetization	3.60	Bohr magnetons per cell
# E_tot	-3.516	eV per atom
# D(E_F)	7.56	states/eV per cell
# distance to the lowest polymorph of the same formula	1.83	eV/f.u.
# ΔE_f (raw)	0.755	eV per atom
data_ZnFeAsSe2
_chemical_formula_sum 'Zn1 Fe1 As1 Se2'
_space_group_name_H-M_alt 'P 4/m m m'
_space_group_IT_number 123
_space_group_name_Hall '-P 4 2'
_cell_length_a 5.187
_cell_length_b 5.187
_cell_length_c 4.566
_cell_angle_alpha 90.00
_cell_angle_beta 90.00
_cell_angle_gamma 90.00
loop_
_atom_site_label
_atom_site_type_symbol
_atom_site_fract_x
_atom_site_fract_y
_atom_site_fract_z
Zn1 Zn 0.000 0.000 0.000
Fe1 Fe 0.500 0.500 0.000
As1 As 0.000 0.000 0.500
Se1 Se 0.000 0.500 0.500


# Pm2MnSiRh6 | Alexandria via LeMat-Bulk | PBE | relaxed
# total magnetization	8.07	Bohr magnetons per cell
# E_tot	-7.182	eV per atom
# D(E_F)	23.96	states/eV per cell
# ΔE_f (raw)	-0.362	eV per atom
data_Pm2MnSiRh6
_chemical_formula_sum 'Pm6 Mn3 Si3 Rh18'
_space_group_name_H-M_alt 'R -3 m'
_space_group_IT_number 166
_space_group_name_Hall '-R 3 2"'
_cell_length_a 6.1918
_cell_length_b 6.1918
_cell_length_c 17.0481
_cell_angle_alpha 90.00
_cell_angle_beta 90.00
_cell_angle_gamma 120.00
loop_
_atom_site_label
_atom_site_type_symbol
_atom_site_fract_x
_atom_site_fract_y
_atom_site_fract_z
Pm1 Pm 0.0000 0.0000 0.2291
Mn1 Mn 0.0000 0.0000 0.5000
Si1 Si 0.0000 0.0000 0.0000
Rh1 Rh 0.0424 0.5212 0.2733


# Tl2FeTc | Alexandria via LeMat-Bulk | PBE | relaxed
# energy of formation	0.80	eV per atom
# total magnetization	8.95	Bohr magnetons per cell
# E_tot	-5.092	eV per atom
# D(E_F)	6.56	states/eV per cell
# distance to the lowest polymorph of the same formula	1.36	eV/f.u.
data_Tl2FeTc
_chemical_formula_sum 'Tl4 Fe2 Tc2'
_space_group_name_H-M_alt 'I 4/m m m'
_space_group_IT_number 139
_space_group_name_Hall '-I 4 2'
_cell_length_a 4.204
_cell_length_b 4.204
_cell_length_c 8.502
_cell_angle_alpha 90.00
_cell_angle_beta 90.00
_cell_angle_gamma 90.00
loop_
_atom_site_label
_atom_site_type_symbol
_atom_site_fract_x
_atom_site_fract_y
_atom_site_fract_z
Tl1 Tl 0.000 0.500 0.250
Fe1 Fe 0.000 0.000 0.000
Tc1 Tc 0.000 0.000 0.500


# BaCeInCl6 | Alexandria via LeMat-Bulk | PBE | relaxed
# total magnetization	2.00	Bohr magnetons per cell
# E_tot	-4.396	eV per atom
# D(E_F)	17.28	states/eV per cell
# ΔE_f (raw)	-1.988	eV per atom
data_BaCeInCl6
_chemical_formula_sum 'Ba2 Ce2 In2 Cl12'
_space_group_name_H-M_alt 'P -3 1 c'
_space_group_IT_number 163
_space_group_name_Hall '-P 3 2c'
_cell_length_a 7.8060
_cell_length_b 7.8060
_cell_length_c 12.8379
_cell_angle_alpha 90.00
_cell_angle_beta 90.00
_cell_angle_gamma 120.00
loop_
_atom_site_label
_atom_site_type_symbol
_atom_site_fract_x
_atom_site_fract_y
_atom_site_fract_z
Ba1 Ba 0.3333 0.6667 0.2500
Ce1 Ce 0.3333 0.6667 0.7500
In1 In 0.0000 0.0000 0.0000
Cl1 Cl 0.0310 0.3746 0.6312


# NaLi2Tb | Alexandria via LeMat-Bulk | PBE | relaxed
# energy of formation	0.21	eV per atom
# total magnetization	0.00	Bohr magnetons per cell
# E_tot	-2.234	eV per atom
# D(E_F)	8.28	states/eV per cell
# distance to the lowest polymorph of the same formula	0.24	eV/f.u.
data_NaLi2Tb
_chemical_formula_sum 'Na3 Li6 Tb3'
_space_group_name_H-M_alt 'R -3 m'
_space_group_IT_number 166
_space_group_name_Hall '-R 3 2"'
_cell_length_a 3.3015
_cell_length_b 3.3015
_cell_length_c 35.9286
_cell_angle_alpha 90.00
_cell_angle_beta 90.00
_cell_angle_gamma 120.00
loop_
_atom_site_label
_atom_site_type_symbol
_atom_site_fract_x
_atom_site_fract_y
_atom_site_fract_z
Na1 Na 0.0000 0.0000 0.0000
Li1 Li 0.0000 0.0000 0.4142
Tb1 Tb 0.0000 0.0000 0.5000


# SrMn2Ir | Alexandria via LeMat-Bulk | PBE | relaxed
# energy of formation	0.57	eV per atom
# total magnetization	0.00	Bohr magnetons per cell
# E_tot	-6.646	eV per atom
# D(E_F)	5.16	states/eV per cell
data_SrMn2Ir
_chemical_formula_sum 'Sr1 Mn2 Ir1'
_space_group_name_H-M_alt 'P 1 2/m 1'
_space_group_IT_number 10
_cell_length_a 2.793
_cell_length_b 4.148
_cell_length_c 6.303
_cell_angle_alpha 90.00
_cell_angle_beta 91.51
_cell_angle_gamma 90.00
loop_
_space_group_symop_operation_xyz
'x,y,z'
'-x,-y,-z'
'-x,y,-z'
'x,-y,z'
loop_
_atom_site_label
_atom_site_type_symbol
_atom_site_fract_x
_atom_site_fract_y
_atom_site_fract_z
Sr1 Sr 0.000 0.000 0.000
Mn1 Mn 0.494 0.500 0.350
Ir1 Ir 0.000 0.000 0.500


# In2Ru | Alexandria via LeMat-Bulk | PBE | relaxed
# energy of formation	0.08	eV per atom
# total magnetization	0.00	Bohr magnetons per cell
# E_tot	-4.835	eV per atom
# D(E_F)	5.34	states/eV per cell
data_In2Ru
_chemical_formula_sum 'In6 Ru3'
_space_group_name_H-M_alt 'P -6 2 m'
_space_group_IT_number 189
_space_group_name_Hall 'P -6 -2'
_cell_length_a 7.6679
_cell_length_b 7.6679
_cell_length_c 3.4192
_cell_angle_alpha 90.00
_cell_angle_beta 90.00
_cell_angle_gamma 120.00
loop_
_atom_site_label
_atom_site_type_symbol
_atom_site_fract_x
_atom_site_fract_y
_atom_site_fract_z
In1 In 0.0000 0.2759 0.0000
In2 In 0.0000 0.6089 0.5000
Ru1 Ru 0.0000 0.0000 0.5000
Ru2 Ru 0.3333 0.6667 0.0000


# ZrBePd2 | Alexandria via LeMat-Bulk | PBE | relaxed
# energy of formation	-0.68	eV per atom
# total magnetization	0.00	Bohr magnetons per cell
# E_tot	-6.343	eV per atom
# D(E_F)	16.24	states/eV per cell
# distance to the lowest polymorph of the same formula	0.00	eV/f.u.
data_ZrBePd2
_chemical_formula_sum 'Zr8 Be8 Pd16'
_space_group_name_H-M_alt 'P n m a'
_space_group_IT_number 62
_cell_length_a 13.288
_cell_length_b 7.025
_cell_length_c 5.145
_cell_angle_alpha 90.00
_cell_angle_beta 90.00
_cell_angle_gamma 90.00
loop_
_space_group_symop_operation_xyz
'x,y,z'
'-x,-y,-z'
'-x+1/2,-y,z+1/2'
'x+1/2,y,-z+1/2'
'x+1/2,-y+1/2,-z+1/2'
'-x+1/2,y+1/2,z+1/2'
'-x,y+1/2,-z'
'x,-y+1/2,z'
loop_
_atom_site_label
_atom_site_type_symbol
_atom_site_fract_x
_atom_site_fract_y
_atom_site_fract_z
Zr1 Zr 0.111 0.250 0.233
Zr2 Zr 0.139 0.750 0.002
Be1 Be 0.068 0.750 0.510
Be2 Be 0.181 0.250 0.735
Pd1 Pd 0.034 0.052 0.751
Pd2 Pd 0.214 0.553 0.505


# Tm2IrRh3 | Alexandria via LeMat-Bulk | PBE | relaxed
# energy of formation	-0.79	eV per atom
# total magnetization	0.00	Bohr magnetons per cell
# E_tot	-7.429	eV per atom
# D(E_F)	12.43	states/eV per cell
data_Tm2IrRh3
_chemical_formula_sum 'Tm6 Ir3 Rh9'
_space_group_name_H-M_alt 'R -3 m'
_space_group_IT_number 166
_space_group_name_Hall '-R 3 2"'
_cell_length_a 5.3033
_cell_length_b 5.3033
_cell_length_c 13.0379
_cell_angle_alpha 90.00
_cell_angle_beta 90.00
_cell_angle_gamma 120.00
loop_
_atom_site_label
_atom_site_type_symbol
_atom_site_fract_x
_atom_site_fract_y
_atom_site_fract_z
Tm1 Tm 0.0000 0.0000 0.1255
Ir1 Ir 0.0000 0.0000 0.5000
Rh1 Rh 0.0000 0.5000 0.0000


# Pr2HfTe2N2 | Alexandria via LeMat-Bulk | PBE | relaxed
# total magnetization	0.00	Bohr magnetons per cell
# E_tot	-7.553	eV per atom
# ΔE_f (raw)	-1.489	eV per atom
data_Pr2HfTe2N2
_chemical_formula_sum 'Pr4 Hf2 Te4 N4'
_space_group_name_H-M_alt 'I 4/m m m'
_space_group_IT_number 139
_space_group_name_Hall '-I 4 2'
_cell_length_a 4.296
_cell_length_b 4.296
_cell_length_c 17.041
_cell_angle_alpha 90.00
_cell_angle_beta 90.00
_cell_angle_gamma 90.00
loop_
_atom_site_label
_atom_site_type_symbol
_atom_site_fract_x
_atom_site_fract_y
_atom_site_fract_z
Pr1 Pr 0.000 0.000 0.100
Hf1 Hf 0.000 0.000 0.500
Te1 Te 0.000 0.000 0.323
N1 N 0.000 0.500 0.000


# CrAg2Pt | Alexandria via LeMat-Bulk | PBE | relaxed
# energy of formation	0.11	eV per atom
# total magnetization	4.27	Bohr magnetons per cell
# E_tot	-5.230	eV per atom
# D(E_F)	3.30	states/eV per cell
# distance to the lowest polymorph of the same formula	0.07	eV/f.u.
data_CrAg2Pt
_chemical_formula_sum 'Cr1 Ag2 Pt1'
_space_group_name_H-M_alt 'P 4/m m m'
_space_group_IT_number 123
_space_group_name_Hall '-P 4 2'
_cell_length_a 3.946
_cell_length_b 3.946
_cell_length_c 4.240
_cell_angle_alpha 90.00
_cell_angle_beta 90.00
_cell_angle_gamma 90.00
loop_
_atom_site_label
_atom_site_type_symbol
_atom_site_fract_x
_atom_site_fract_y
_atom_site_fract_z
Cr1 Cr 0.000 0.000 0.000
Ag1 Ag 0.000 0.500 0.500
Pt1 Pt 0.500 0.500 0.000


# BeMo2Br | Alexandria via LeMat-Bulk | PBE | relaxed
# total magnetization	0.00	Bohr magnetons per cell
# E_tot	-5.863	eV per atom
# D(E_F)	10.25	states/eV per cell
# distance to the lowest polymorph of the same formula	2.36	eV/f.u.
# ΔE_f (raw)	0.903	eV per atom
data_BeMo2Br
_chemical_formula_sum 'Be4 Mo8 Br4'
_space_group_name_H-M_alt 'I -4 2 d'
_space_group_IT_number 122
_space_group_name_Hall 'I -4 2bw'
_cell_length_a 3.832
_cell_length_b 3.832
_cell_length_c 18.111
_cell_angle_alpha 90.00
_cell_angle_beta 90.00
_cell_angle_gamma 90.00
loop_
_atom_site_label
_atom_site_type_symbol
_atom_site_fract_x
_atom_site_fract_y
_atom_site_fract_z
Be1 Be 0.000 0.000 0.000
Mo1 Mo 0.211 0.250 0.125
Br1 Br 0.000 0.000 0.500


# La2FeSi | Alexandria via LeMat-Bulk | PBE | relaxed
# total magnetization	0.00	Bohr magnetons per cell
# E_tot	-5.795	eV per atom
# D(E_F)	4.62	states/eV per cell
# ΔE_f (raw)	0.140	eV per atom
data_La2FeSi
_chemical_formula_sum 'La8 Fe4 Si4'
_space_group_name_H-M_alt 'I -4 2 d'
_space_group_IT_number 122
_space_group_name_Hall 'I -4 2bw'
_cell_length_a 7.876
_cell_length_b 7.876
_cell_length_c 5.932
_cell_angle_alpha 90.00
_cell_angle_beta 90.00
_cell_angle_gamma 90.00
loop_
_atom_site_label
_atom_site_type_symbol
_atom_site_fract_x
_atom_site_fract_y
_atom_site_fract_z
La1 La 0.188 0.250 0.125
Fe1 Fe 0.000 0.000 0.000
Si1 Si 0.000 0.000 0.500


# DyEr12Co5 | Alexandria via LeMat-Bulk | PBE | relaxed
# energy of formation	-0.14	eV per atom
# total magnetization	0.00	Bohr magnetons per cell
# E_tot	-5.415	eV per atom
# D(E_F)	31.70	states/eV per cell
data_DyEr12Co5
_chemical_formula_sum 'Dy2 Er24 Co10'
_space_group_name_H-M_alt 'I m m m'
_space_group_IT_number 71
_space_group_name_Hall '-I 2 2'
_cell_length_a 9.359
_cell_length_b 9.415
_cell_length_c 9.915
_cell_angle_alpha 90.00
_cell_angle_beta 90.00
_cell_angle_gamma 90.00
loop_
_atom_site_label
_atom_site_type_symbol
_atom_site_fract_x
_atom_site_fract_y
_atom_site_fract_z
Dy1 Dy 0.000 0.000 0.000
Er1 Er 0.000 0.191 0.296
Er2 Er 0.188 0.500 0.314
Er3 Er 0.210 0.318 0.000
Co1 Co 0.000 0.000 0.500
Co2 Co 0.000 0.374 0.500
Co3 Co 0.000 0.500 0.113


# RbBP | Alexandria via LeMat-Bulk | PBE | relaxed
# energy of formation	-0.13	eV per atom
# total magnetization	0.00	Bohr magnetons per cell
# E_tot	-4.486	eV per atom
# D(E_F)	1.13	states/eV per cell
# distance to the lowest polymorph of the same formula	0.29	eV/f.u.
data_RbBP
_chemical_formula_sum 'Rb4 B4 P4'
_space_group_name_H-M_alt 'I m m m'
_space_group_IT_number 71
_space_group_name_Hall '-I 2 2'
_cell_length_a 4.480
_cell_length_b 6.188
_cell_length_c 10.461
_cell_angle_alpha 90.00
_cell_angle_beta 90.00
_cell_angle_gamma 90.00
loop_
_atom_site_label
_atom_site_type_symbol
_atom_site_fract_x
_atom_site_fract_y
_atom_site_fract_z
Rb1 Rb 0.000 0.000 0.190
B1 B 0.181 0.500 0.000
P1 P 0.000 0.212 0.500


# BaGe3Pd | Alexandria via LeMat-Bulk | PBE | relaxed
# energy of formation	-0.54	eV per atom
# total magnetization	0.00	Bohr magnetons per cell
# E_tot	-4.737	eV per atom
# D(E_F)	7.50	states/eV per cell
data_BaGe3Pd
_chemical_formula_sum 'Ba4 Ge12 Pd4'
_space_group_name_H-M_alt 'C m c m'
_space_group_IT_number 63
_space_group_name_Hall '-C 2c 2'
_cell_length_a 6.549
_cell_length_b 10.447
_cell_length_c 6.557
_cell_angle_alpha 90.00
_cell_angle_beta 90.00
_cell_angle_gamma 90.00
loop_
_atom_site_label
_atom_site_type_symbol
_atom_site_fract_x
_atom_site_fract_y
_atom_site_fract_z
Ba1 Ba 0.000 0.244 0.250
Ge1 Ge 0.000 0.130 0.750
Ge2 Ge 0.236 0.500 0.000
Pd1 Pd 0.000 0.380 0.750


# CoNiSe3 | Alexandria via LeMat-Bulk | PBE | relaxed
# total magnetization	2.75	Bohr magnetons per cell
# E_tot	-3.947	eV per atom
# D(E_F)	7.60	states/eV per cell
# distance to the lowest polymorph of the same formula	4.45	eV/f.u.
# ΔE_f (raw)	0.722	eV per atom
data_CoNiSe3
_chemical_formula_sum 'Co1 Ni1 Se3'
_space_group_name_H-M_alt 'P m -3 m'
_space_group_IT_number 221
_space_group_name_Hall '-P 4 2 3'
_cell_length_a 4.673
_cell_length_b 4.673
_cell_length_c 4.673
_cell_angle_alpha 90.00
_cell_angle_beta 90.00
_cell_angle_gamma 90.00
loop_
_atom_site_label
_atom_site_type_symbol
_atom_site_fract_x
_atom_site_fract_y
_atom_site_fract_z
Co1 Co 0.000 0.000 0.000
Ni1 Ni 0.500 0.500 0.500
Se1 Se 0.000 0.500 0.500